No. 1
# Sr2HfSc2 PBE optimized geometry
data_Sr2HfSc2
_symmetry_space_group_name_H-M 'P 4/m b m'
_symmetry_Int_Tables_number 127
_symmetry_space_group_name_Hall '-P 4 2ab'
_cell_length_a 9.007
_cell_length_b 9.007
_cell_length_c 3.849
_cell_angle_alpha 90.00
_cell_angle_beta 90.00
_cell_angle_gamma 90.00
loop_
_atom_site_label
_atom_site_fract_x
_atom_site_fract_y
_atom_site_fract_z
Sr1 0.169 0.331 0.000
Hf1 0.000 0.000 0.500
Sc1 0.134 0.634 0.500
# - Formation enthalpy at 0 K: 0.73 eV per atom
# - DOS at the Fermi energy: 9.7 states/eV per cell
# - Calculated volume: 156.1 Å³/f.u.


No. 2
# SrHfSc2 PBE optimized geometry
data_SrHfSc2
_symmetry_space_group_name_H-M 'F m -3 m'
_symmetry_Int_Tables_number 225
_symmetry_space_group_name_Hall '-F 4 2 3'
_cell_length_a 7.589
_cell_length_b 7.589
_cell_length_c 7.589
_cell_angle_alpha 90.00
_cell_angle_beta 90.00
_cell_angle_gamma 90.00
loop_
_atom_site_label
_atom_site_fract_x
_atom_site_fract_y
_atom_site_fract_z
Sr1 0.000 0.000 0.000
Hf1 0.000 0.000 0.500
Sc1 0.250 0.250 0.250
# - Formation enthalpy at 0 K: 0.46 eV per atom
# - DOS at the Fermi energy: 25.3 states/eV per cell
# - Calculated volume: 109.3 Å³/f.u.


No. 3
# Sr2Hf2Sc PBE optimized geometry
data_Sr2Hf2Sc
_symmetry_space_group_name_H-M 'P 4/m b m'
_symmetry_Int_Tables_number 127
_symmetry_space_group_name_Hall '-P 4 2ab'
_cell_length_a 9.309
_cell_length_b 9.309
_cell_length_c 3.464
_cell_angle_alpha 90.00
_cell_angle_beta 90.00
_cell_angle_gamma 90.00
loop_
_atom_site_label
_atom_site_fract_x
_atom_site_fract_y
_atom_site_fract_z
Sr1 0.129 0.371 0.000
Hf1 0.172 0.672 0.500
Sc1 0.000 0.000 0.000
# - Formation enthalpy at 0 K: 0.95 eV per atom
# - DOS at the Fermi energy: 9.2 states/eV per cell
# - Calculated volume: 150.1 Å³/f.u.